DFT (GGA-PBEsol) results for a relaxed structure of ScOsRu.

Calculated values
**E_form**: 0.56 eV per formula unit

a b c (Å): 2.8463 2.8463 6.6189
angles (deg): 90.00 90.00 120.00
Atoms (fractional coordinates):
Sc 0.0000 0.0000 0.0000
Os 0.3333 0.6667 0.6498
Ru 0.6667 0.3333 0.3419

=====

DFT (GGA-PBEsol) results for a relaxed structure of GeBiPdO2.

Calculated values
**Total DFT energy (no corrections)**: -25.5 eV/cell

a b c (Å): 4.1429 4.1429 5.3535
angles (deg): 90.00 90.00 90.00
Atoms (fractional coordinates):
Ge 0.0000 0.0000 0.0000
Bi 0.5000 0.5000 0.5000
Pd 0.5000 0.5000 0.0000
O 0.0000 0.5000 0.5000
O 0.5000 0.0000 0.5000

=====

Number 2 is which compound? GeBiPdO2